[1]
First-principles (PBE) data for a geometry-optimized NaHgBiSe3 structure, as listed in OQMD via LeMat-Bulk.

Properties
Crystal system: orthorhombic
E in eV per atom: -3.150

Unit cell a=7.1942 b=7.1942 c=11.3330 alpha=90.00 beta=90.00 gamma=145.46
Closest atoms and distances in Å follow each position.
Positions (direct):
Na1 0.2473 0.7527 0.7500  6 Se 3.10-3.44
Na2 0.7527 0.2473 0.2500  6 Se 3.10-3.44
Hg1 0.0486 0.9514 0.2500  4 Se 2.64-2.80
Hg2 0.9514 0.0486 0.7500  4 Se 2.64-2.80
Bi1 0.5000 0.5000 0.0000  6 Se 2.99-3.06
Bi2 0.5000 0.5000 0.5000  6 Se 2.99-3.06
Se1 0.1464 0.8536 0.0497  1 Hg 2.64
Se2 0.1464 0.8536 0.4503  1 Hg 2.64
Se3 0.4164 0.5836 0.2500  2 Hg 2.80, 2 Bi 3.06, 2 Na 3.10
Se4 0.5836 0.4164 0.7500  2 Hg 2.80, 2 Bi 3.06, 2 Na 3.10
Se5 0.8536 0.1464 0.5497  1 Hg 2.64
Se6 0.8536 0.1464 0.9503  1 Hg 2.64



[2]
First-principles (PBE) data for a geometry-optimized NaSrHgBi structure, as listed in OQMD via LeMat-Bulk.

Properties
Crystal system: cubic
E in eV per atom: -2.445

Unit cell a=7.9167 b=7.9167 c=7.9167 alpha=90.00 beta=90.00 gamma=90.00
Closest atoms and distances in Å follow each position.
Positions (direct):
Na1 0.0000 0.0000 0.0000  4 Bi 3.43, 4 Hg 3.43
Na2 0.0000 0.5000 0.5000  4 Bi 3.43, 4 Hg 3.43
Na3 0.5000 0.0000 0.5000  4 Bi 3.43, 4 Hg 3.43
Na4 0.5000 0.5000 0.0000  4 Bi 3.43, 4 Hg 3.43
Sr1 0.0000 0.0000 0.5000  4 Hg 3.43, 4 Bi 3.43
Sr2 0.0000 0.5000 0.0000  4 Hg 3.43, 4 Bi 3.43
Sr3 0.5000 0.0000 0.0000  4 Hg 3.43, 4 Bi 3.43
Sr4 0.5000 0.5000 0.5000  4 Hg 3.43, 4 Bi 3.43
Hg1 0.2500 0.2500 0.7500  4 Na 3.43, 4 Sr 3.43
Hg2 0.2500 0.7500 0.2500  4 Na 3.43, 4 Sr 3.43
Hg3 0.7500 0.2500 0.2500  4 Na 3.43, 4 Sr 3.43
Hg4 0.7500 0.7500 0.7500  4 Na 3.43, 4 Sr 3.43
Bi1 0.2500 0.2500 0.2500  4 Sr 3.43, 4 Na 3.43
Bi2 0.2500 0.7500 0.7500  4 Na 3.43, 4 Sr 3.43
Bi3 0.7500 0.2500 0.7500  4 Na 3.43, 4 Sr 3.43
Bi4 0.7500 0.7500 0.2500  4 Na 3.43, 4 Sr 3.43



[3]
First-principles (PBE) data for a geometry-optimized NaHgBiTe3 structure, as listed in OQMD via LeMat-Bulk.

Properties
Crystal system: orthorhombic
E in eV per atom: -2.865

Unit cell a=7.6797 b=7.6797 c=11.9050 alpha=90.00 beta=90.00 gamma=145.78
Closest atoms and distances in Å follow each position.
Positions (direct):
Na1 0.2470 0.7530 0.7500  6 Te 3.36-3.62, 2 Hg 3.70
Na2 0.7530 0.2470 0.2500  6 Te 3.36-3.62, 2 Hg 3.70
Hg1 0.4522 0.5478 0.2500  4 Te 2.83-2.97
Hg2 0.5478 0.4522 0.7500  4 Te 2.83-2.97
Bi1 0.0000 0.0000 0.0000  6 Te 3.18-3.22
Bi2 0.0000 0.0000 0.5000  6 Te 3.18-3.22
Te1 0.0836 0.9164 0.2500  2 Hg 2.97, 2 Bi 3.22
Te2 0.3524 0.6476 0.0469  1 Hg 2.83
Te3 0.3524 0.6476 0.4531  1 Hg 2.83
Te4 0.6476 0.3524 0.5469  1 Hg 2.83
Te5 0.6476 0.3524 0.9531  1 Hg 2.83
Te6 0.9164 0.0836 0.7500  2 Hg 2.97, 2 Bi 3.22



[4]
First-principles (PBE) data for a geometry-optimized NbHgBi structure, as listed in OQMD via LeMat-Bulk.

Properties
Excess energy over the best structure of this formula in the dataset in kJ per mole of atoms: 0.0
Crystal system: monoclinic
E in eV per atom: -4.825
Size of the total moment in μB per formula unit: 0.00

Unit cell a=3.5399 b=3.5406 c=12.7761 alpha=90.00 beta=90.04 gamma=90.00
Closest atoms and distances in Å follow each position.
Positions (direct):
Nb1 0.2502 0.0000 0.0551  4 Nb 2.87, 5 Bi 3.04-3.13
Nb2 0.7498 0.5000 0.9449  4 Nb 2.87, 5 Bi 3.04-3.13
Hg1 0.2506 0.9986 0.4064  8 Hg 3.46-3.54, 4 Bi 3.73
Hg2 0.7494 0.4986 0.5936  8 Hg 3.46-3.54, 4 Bi 3.73
Bi1 0.2494 0.0000 0.8101  5 Nb 3.04-3.13
Bi2 0.7506 0.5000 0.1899  5 Nb 3.04-3.13



[5]
First-principles (PBE) data for a geometry-optimized NbHgBi structure, as listed in OQMD via LeMat-Bulk.

Properties
Excess energy over the best structure of this formula in the dataset in kJ per mole of atoms: 51.8
Crystal system: cubic
E in eV per atom: -4.288
Size of the total moment in μB per formula unit: 2.06

Unit cell a=6.8831 b=6.8831 c=6.8831 alpha=90.00 beta=90.00 gamma=90.00
Closest atoms and distances in Å follow each position.
Positions (direct):
Nb1 0.0000 0.0000 0.0000  4 Hg 2.98, 4 Bi 2.98
Nb2 0.0000 0.5000 0.5000  4 Hg 2.98, 4 Bi 2.98
Nb3 0.5000 0.0000 0.5000  4 Hg 2.98, 4 Bi 2.98
Nb4 0.5000 0.5000 0.0000  4 Hg 2.98, 4 Bi 2.98
Hg1 0.2500 0.2500 0.2500  4 Nb 2.98
Hg2 0.2500 0.7500 0.7500  4 Nb 2.98
Hg3 0.7500 0.2500 0.7500  4 Nb 2.98
Hg4 0.7500 0.7500 0.2500  4 Nb 2.98
Bi1 0.2500 0.2500 0.7500  4 Nb 2.98
Bi2 0.2500 0.7500 0.2500  4 Nb 2.98
Bi3 0.7500 0.2500 0.2500  4 Nb 2.98
Bi4 0.7500 0.7500 0.7500  4 Nb 2.98



[6]
First-principles (PBE) data for a geometry-optimized NbNiHgBi structure, as listed in OQMD via LeMat-Bulk.

Properties
Excess energy over the best structure of this formula in the dataset in kJ per mole of atoms: 0.0
Crystal system: cubic
E in eV per atom: -4.530
Size of the total moment in μB per formula unit: 0.96

Unit cell a=6.7710 b=6.7710 c=6.7710 alpha=90.00 beta=90.00 gamma=90.00
Closest atoms and distances in Å follow each position.
Positions (direct):
Nb1 0.0000 0.0000 0.0000  4 Hg 2.93, 4 Bi 2.93
Nb2 0.0000 0.5000 0.5000  4 Bi 2.93, 4 Hg 2.93
Nb3 0.5000 0.0000 0.5000  4 Bi 2.93, 4 Hg 2.93
Nb4 0.5000 0.5000 0.0000  4 Hg 2.93, 4 Bi 2.93
Ni1 0.0000 0.0000 0.5000  4 Hg 2.93, 4 Bi 2.93
Ni2 0.0000 0.5000 0.0000  4 Hg 2.93, 4 Bi 2.93
Ni3 0.5000 0.0000 0.0000  4 Hg 2.93, 4 Bi 2.93
Ni4 0.5000 0.5000 0.5000  4 Hg 2.93, 4 Bi 2.93
Hg1 0.2500 0.2500 0.7500  4 Nb 2.93, 4 Ni 2.93
Hg2 0.2500 0.7500 0.2500  4 Nb 2.93, 4 Ni 2.93
Hg3 0.7500 0.2500 0.2500  4 Nb 2.93, 4 Ni 2.93
Hg4 0.7500 0.7500 0.7500  4 Ni 2.93, 4 Nb 2.93
Bi1 0.2500 0.2500 0.2500  4 Nb 2.93, 4 Ni 2.93
Bi2 0.2500 0.7500 0.7500  4 Nb 2.93, 4 Ni 2.93
Bi3 0.7500 0.2500 0.7500  4 Nb 2.93, 4 Ni 2.93
Bi4 0.7500 0.7500 0.2500  4 Nb 2.93, 4 Ni 2.93